[1]
! GGA-PBE YCoAsOs, relaxed; values from VASP
&SYSTEM
  ibrav = 0, nat = 4, ntyp = 4
/
ATOMIC_SPECIES
Y 88.91 Y.upf
Co 58.93 Co.upf
As 74.92 As.upf
Os 190.23 Os.upf
ATOMIC_POSITIONS crystal
Y 0.0000 0.0000 0.0000
Co 0.7500 0.7500 0.7500
As 0.5000 0.5000 0.5000
Os 0.2500 0.2500 0.2500
CELL_PARAMETERS angstrom
0.0000 3.1868 3.1868
3.1868 0.0000 3.1868
3.1868 3.1868 0.0000
! Total moment   1.0 μB/f.u.
! V   16.18 A^3/atom
! DFT total energy   -7.262 eV per atom
! Distance to the lowest polymorph of the same formula   0.000 eV per formula unit



[2]
! GGA-PBE Co2Re11, relaxed; values from VASP
&SYSTEM
  ibrav = 0, nat = 13, ntyp = 2
/
ATOMIC_SPECIES
Co 58.93 Co.upf
Re 186.21 Re.upf
ATOMIC_POSITIONS crystal
Co 0.0450 0.0450 0.0450
Co 0.9550 0.9550 0.9550
Re 0.0796 0.5901 0.5901
Re 0.1461 0.1461 0.1461
Re 0.3357 0.3357 0.3357
Re 0.4099 0.4099 0.9204
Re 0.4099 0.9204 0.4099
Re 0.5000 0.5000 0.5000
Re 0.5901 0.0796 0.5901
Re 0.5901 0.5901 0.0796
Re 0.6643 0.6643 0.6643
Re 0.8539 0.8539 0.8539
Re 0.9204 0.4099 0.4099
CELL_PARAMETERS angstrom
2.5094 1.4488 8.8185
-2.5094 1.4488 8.8185
0.0000 -2.8976 8.8185
! Total moment   1.2 μB/f.u.
! V   14.80 A^3/atom
! DFT total energy   -11.343 eV per atom
! Distance to the lowest polymorph of the same formula   0.000 eV per formula unit
! Formation energy   0.262 eV/atom



[3]
! GGA-PBE Nd2Cd4PdAu, relaxed; values from VASP
&SYSTEM
  ibrav = 0, nat = 8, ntyp = 4
/
ATOMIC_SPECIES
Nd 144.24 Nd.upf
Cd 112.41 Cd.upf
Pd 106.42 Pd.upf
Au 196.97 Au.upf
ATOMIC_POSITIONS crystal
Nd 0.0000 0.0000 0.0000
Nd 0.5000 0.1333 0.1333
Cd 0.2049 0.7071 0.7071
Cd 0.3056 0.4275 0.4275
Cd 0.6944 0.4275 0.4275
Cd 0.7951 0.7071 0.7071
Pd 0.5000 0.8434 0.8434
Au 0.0000 0.2936 0.2936
CELL_PARAMETERS angstrom
8.3748 0.0000 0.0000
0.0000 2.1933 5.1160
0.0000 -2.1933 5.1160
! Total moment   0.0 μB/f.u.
! V   23.49 A^3/atom
! DFT total energy   -3.228 eV per atom
! Formation energy   -0.535 eV/atom



[4]
! GGA-PBE RbCuSiTeSe2, relaxed; values from VASP
&SYSTEM
  ibrav = 0, nat = 12, ntyp = 5
/
ATOMIC_SPECIES
Rb 85.47 Rb.upf
Cu 63.55 Cu.upf
Si 28.09 Si.upf
Te 127.60 Te.upf
Se 78.96 Se.upf
ATOMIC_POSITIONS crystal
Rb 0.2433 0.7567 0.7500
Rb 0.7567 0.2433 0.2500
Cu 0.4432 0.5568 0.2500
Cu 0.5568 0.4432 0.7500
Si 0.0000 0.0000 0.0000
Si 0.0000 0.0000 0.5000
Te 0.0582 0.9418 0.2500
Te 0.9418 0.0582 0.7500
Se 0.3926 0.6074 0.0428
Se 0.3926 0.6074 0.4572
Se 0.6074 0.3926 0.5428
Se 0.6074 0.3926 0.9572
CELL_PARAMETERS angstrom
1.8334 -8.1008 0.0000
1.8334 8.1008 0.0000
0.0000 0.0000 10.7723
! V   26.66 A^3/atom
! DFT total energy   -3.731 eV per atom



[5]
! GGA-PBE NiMoOsPb, relaxed; values from VASP
&SYSTEM
  ibrav = 0, nat = 4, ntyp = 4
/
ATOMIC_SPECIES
Ni 58.69 Ni.upf
Mo 95.94 Mo.upf
Os 190.23 Os.upf
Pb 207.20 Pb.upf
ATOMIC_POSITIONS crystal
Ni 0.0000 0.0000 0.0000
Mo 0.5000 0.5000 0.5000
Os 0.2500 0.2500 0.2500
Pb 0.7500 0.7500 0.7500
CELL_PARAMETERS angstrom
0.0000 3.1815 3.1815
3.1815 0.0000 3.1815
3.1815 3.1815 0.0000
! Total moment   0.0 μB/f.u.
! V   16.10 A^3/atom
! DFT total energy   -7.202 eV per atom



[6]
! GGA-PBE PmCdAu, relaxed; values from VASP
&SYSTEM
  ibrav = 0, nat = 3, ntyp = 3
/
ATOMIC_SPECIES
Pm 145.00 Pm.upf
Cd 112.41 Cd.upf
Au 196.97 Au.upf
ATOMIC_POSITIONS crystal
Pm 0.0000 0.0000 0.0000
Cd 0.2500 0.2500 0.2500
Au 0.7500 0.7500 0.7500
CELL_PARAMETERS angstrom
0.0000 3.5163 3.5163
3.5163 0.0000 3.5163
3.5163 3.5163 0.0000
! Total moment   0.0 μB/f.u.
! V   28.98 A^3/atom
! DFT total energy   -3.146 eV per atom
! Formation energy   -0.177 eV/atom



[7]
! GGA-PBE ZrCoCuB, relaxed; values from VASP
&SYSTEM
  ibrav = 0, nat = 4, ntyp = 4
/
ATOMIC_SPECIES
Zr 91.22 Zr.upf
Co 58.93 Co.upf
Cu 63.55 Cu.upf
B 10.81 B.upf
ATOMIC_POSITIONS crystal
Zr 0.0000 0.0000 0.0000
Co 0.7500 0.7500 0.7500
Cu 0.2500 0.2500 0.2500
B 0.5000 0.5000 0.5000
CELL_PARAMETERS angstrom
0.0000 2.9242 2.9242
2.9242 0.0000 2.9242
2.9242 2.9242 0.0000
! Total moment   0.4 μB/f.u.
! V   12.50 A^3/atom
! DFT total energy   -6.247 eV per atom
! Distance to the lowest polymorph of the same formula   0.206 eV per formula unit



[8]
! GGA-PBE MgReNiAs, relaxed; values from VASP
&SYSTEM
  ibrav = 0, nat = 4, ntyp = 4
/
ATOMIC_SPECIES
Mg 24.30 Mg.upf
Re 186.21 Re.upf
Ni 58.69 Ni.upf
As 74.92 As.upf
ATOMIC_POSITIONS crystal
Mg 0.0000 0.0000 0.0000
Re 0.7500 0.7500 0.7500
Ni 0.5000 0.5000 0.5000
As 0.2500 0.2500 0.2500
CELL_PARAMETERS angstrom
0.0000 3.1036 3.1036
3.1036 0.0000 3.1036
3.1036 3.1036 0.0000
! Total moment   0.0 μB/f.u.
! V   14.95 A^3/atom
! DFT total energy   -5.365 eV per atom



[9]
! GGA-PBE NdAuSeO, relaxed; values from VASP
&SYSTEM
  ibrav = 0, nat = 8, ntyp = 4
/
ATOMIC_SPECIES
Nd 144.24 Nd.upf
Au 196.97 Au.upf
Se 78.96 Se.upf
O 16.00 O.upf
ATOMIC_POSITIONS crystal
Nd 0.2500 0.7500 0.8775
Nd 0.7500 0.2500 0.1225
Au 0.0000 0.5000 0.5000
Au 0.5000 0.0000 0.5000
Se 0.2500 0.7500 0.2843
Se 0.7500 0.2500 0.7157
O 0.2500 0.2500 0.0000
O 0.7500 0.7500 0.0000
CELL_PARAMETERS angstrom
2.8999 -2.9069 0.0000
2.8999 2.9069 0.0000
0.0000 0.0000 9.5731
! Total moment   0.0 μB/f.u.
! V   20.17 A^3/atom
! DFT total energy   -5.994 eV per atom



[10]
! GGA-PBE PaTcB, relaxed; values from VASP
&SYSTEM
  ibrav = 0, nat = 3, ntyp = 3
/
ATOMIC_SPECIES
Pa 231.04 Pa.upf
Tc 98.00 Tc.upf
B 10.81 B.upf
ATOMIC_POSITIONS crystal
Pa 0.0000 0.0000 0.0000
Tc 0.2500 0.2500 0.2500
B 0.7500 0.7500 0.7500
CELL_PARAMETERS angstrom
0.0000 3.0180 3.0180
3.0180 0.0000 3.0180
3.0180 3.0180 0.0000
! Total moment   0.0 μB/f.u.
! V   18.33 A^3/atom
! DFT total energy   -7.886 eV per atom
! Distance to the lowest polymorph of the same formula   2.609 eV per formula unit



[11]
! GGA-PBE YCuNiGe, relaxed; values from VASP
&SYSTEM
  ibrav = 0, nat = 4, ntyp = 4
/
ATOMIC_SPECIES
Y 88.91 Y.upf
Cu 63.55 Cu.upf
Ni 58.69 Ni.upf
Ge 72.64 Ge.upf
ATOMIC_POSITIONS crystal
Y 0.0000 0.0000 0.0000
Cu 0.5000 0.5000 0.5000
Ni 0.7500 0.7500 0.7500
Ge 0.2500 0.2500 0.2500
CELL_PARAMETERS angstrom
0.0000 3.2207 3.2207
3.2207 0.0000 3.2207
3.2207 3.2207 0.0000
! Total moment   0.0 μB/f.u.
! V   16.70 A^3/atom
! DFT total energy   -5.295 eV per atom
! Distance to the lowest polymorph of the same formula   0.626 eV per formula unit



[12]
! GGA-PBE Tb2Pd2O5, relaxed; values from VASP
&SYSTEM
  ibrav = 0, nat = 9, ntyp = 3
/
ATOMIC_SPECIES
Tb 158.93 Tb.upf
Pd 106.42 Pd.upf
O 16.00 O.upf
ATOMIC_POSITIONS crystal
Tb 0.0000 0.0000 0.2440
Tb 0.0000 0.0000 0.7560
Pd 0.5000 0.5000 0.0000
Pd 0.5000 0.5000 0.5000
O 0.0000 0.0000 0.0000
O 0.0000 0.5000 0.3638
O 0.0000 0.5000 0.6362
O 0.5000 0.0000 0.3638
O 0.5000 0.0000 0.6362
CELL_PARAMETERS angstrom
3.7963 0.0000 0.0000
0.0000 3.7963 0.0000
0.0000 0.0000 9.0356
! Total moment   0.3 μB/f.u.
! V   14.47 A^3/atom
! DFT total energy   -6.477 eV per atom



[13]
! GGA-PBE Ni2AgBi, relaxed; values from VASP
&SYSTEM
  ibrav = 0, nat = 4, ntyp = 3
/
ATOMIC_SPECIES
Ni 58.69 Ni.upf
Ag 107.87 Ag.upf
Bi 208.98 Bi.upf
ATOMIC_POSITIONS crystal
Ni 0.0000 0.0000 0.0000
Ni 0.2500 0.2500 0.2500
Ag 0.5000 0.5000 0.5000
Bi 0.7500 0.7500 0.7500
CELL_PARAMETERS angstrom
0.0000 3.2182 3.2182
3.2182 0.0000 3.2182
3.2182 3.2182 0.0000
! Total moment   0.0 μB/f.u.
! V   16.67 A^3/atom
! DFT total energy   -4.178 eV per atom



[14]
! GGA-PBE PmMgAu, relaxed; values from VASP
&SYSTEM
  ibrav = 0, nat = 3, ntyp = 3
/
ATOMIC_SPECIES
Pm 145.00 Pm.upf
Mg 24.30 Mg.upf
Au 196.97 Au.upf
ATOMIC_POSITIONS crystal
Pm 0.0000 0.0000 0.0000
Mg 0.2500 0.2500 0.2500
Au 0.7500 0.7500 0.7500
CELL_PARAMETERS angstrom
0.0000 3.4985 3.4985
3.4985 0.0000 3.4985
3.4985 3.4985 0.0000
! Total moment   0.0 μB/f.u.
! V   28.55 A^3/atom
! DFT total energy   -3.167 eV per atom
! Distance to the lowest polymorph of the same formula   2.058 eV per formula unit



[15]
! GGA-PBE HgBiSeO, relaxed; values from VASP
&SYSTEM
  ibrav = 0, nat = 8, ntyp = 4
/
ATOMIC_SPECIES
Hg 200.59 Hg.upf
Bi 208.98 Bi.upf
Se 78.96 Se.upf
O 16.00 O.upf
ATOMIC_POSITIONS crystal
Hg 0.0000 0.1940 0.0000
Hg 0.0000 0.8060 0.5000
Bi 0.5000 0.3462 0.4497
Bi 0.5000 0.6538 0.9497
Se 0.0000 0.2088 0.5036
Se 0.0000 0.7912 0.0036
O 0.5000 0.4099 0.0727
O 0.5000 0.5901 0.5727
CELL_PARAMETERS angstrom
5.4212 0.0000 0.0000
0.0000 8.2875 0.0000
0.0000 0.0000 5.4525
! V   30.62 A^3/atom
! DFT total energy   -3.646 eV per atom
! Distance to the lowest polymorph of the same formula   0.699 eV per formula unit



[16]
! GGA-PBE MgFeBPt, relaxed; values from VASP
&SYSTEM
  ibrav = 0, nat = 4, ntyp = 4
/
ATOMIC_SPECIES
Mg 24.30 Mg.upf
Fe 55.84 Fe.upf
B 10.81 B.upf
Pt 195.08 Pt.upf
ATOMIC_POSITIONS crystal
Mg 0.0000 0.0000 0.0000
Fe 0.7500 0.7500 0.7500
B 0.5000 0.5000 0.5000
Pt 0.2500 0.2500 0.2500
CELL_PARAMETERS angstrom
0.0000 2.8538 2.8538
2.8538 0.0000 2.8538
2.8538 2.8538 0.0000
! Total moment   0.0 μB/f.u.
! V   11.62 A^3/atom
! DFT total energy   -5.433 eV per atom
! Distance to the lowest polymorph of the same formula   0.000 eV per formula unit



[17]
! GGA-PBE TaAlOs, relaxed; values from VASP
&SYSTEM
  ibrav = 0, nat = 3, ntyp = 3
/
ATOMIC_SPECIES
Ta 180.95 Ta.upf
Al 26.98 Al.upf
Os 190.23 Os.upf
ATOMIC_POSITIONS crystal
Ta 0.0000 0.0000 0.0000
Al 0.5000 0.5000 0.5000
Os 0.7500 0.7500 0.7500
CELL_PARAMETERS angstrom
0.0000 3.0270 3.0270
3.0270 0.0000 3.0270
3.0270 3.0270 0.0000
! Total moment   0.0 μB/f.u.
! V   18.49 A^3/atom
! DFT total energy   -9.046 eV per atom



[18]
! GGA-PBE ScHPd3, relaxed; values from VASP
&SYSTEM
  ibrav = 0, nat = 10, ntyp = 3
/
ATOMIC_SPECIES
Sc 44.96 Sc.upf
H 1.01 H.upf
Pd 106.42 Pd.upf
ATOMIC_POSITIONS crystal
Sc 0.2496 0.7504 0.0000
Sc 0.7504 0.2496 0.0000
H 0.4962 0.4962 0.4956
H 0.9969 0.9969 0.4956
Pd 0.2500 0.2500 0.9999
Pd 0.2500 0.2500 0.5002
Pd 0.2497 0.7506 0.5002
Pd 0.7500 0.7500 0.9999
Pd 0.7500 0.7500 0.5002
Pd 0.7506 0.2497 0.5002
CELL_PARAMETERS angstrom
4.0390 -4.0355 0.0000
4.0390 4.0355 0.0000
-4.0364 0.0000 4.0444
! Total moment   0.0 μB/f.u.
! V   13.18 A^3/atom
! DFT total energy   -5.750 eV per atom



[19]
! GGA-PBE La4Er11S22, relaxed; values from VASP
&SYSTEM
  ibrav = 0, nat = 37, ntyp = 3
/
ATOMIC_SPECIES
La 138.91 La.upf
Er 167.26 Er.upf
S 32.06 S.upf
ATOMIC_POSITIONS crystal
La 0.1043 0.1043 0.0117
La 0.3671 0.3671 0.3484
La 0.6329 0.6329 0.6516
La 0.8957 0.8957 0.9883
Er 0.0000 0.0000 0.0000
Er 0.0698 0.0698 0.3617
Er 0.2026 0.2026 0.9418
Er 0.2632 0.2632 0.3516
Er 0.3423 0.3423 0.7000
Er 0.4624 0.4624 0.2699
Er 0.5376 0.5376 0.7301
Er 0.6577 0.6577 0.3000
Er 0.7368 0.7368 0.6484
Er 0.7974 0.7974 0.0582
Er 0.9302 0.9302 0.6383
S 0.0082 0.0082 0.2394
S 0.0868 0.0868 0.7523
S 0.1351 0.1351 0.4515
S 0.1691 0.1691 0.1519
S 0.1897 0.1897 0.6906
S 0.2549 0.2549 0.1188
S 0.2802 0.2802 0.5896
S 0.3496 0.3496 0.0916
S 0.4073 0.4073 0.7865
S 0.4449 0.4449 0.4932
S 0.4535 0.4535 0.0304
S 0.5465 0.5465 0.9696
S 0.5551 0.5551 0.5068
S 0.5927 0.5927 0.2135
S 0.6504 0.6504 0.9084
S 0.7198 0.7198 0.4104
S 0.7451 0.7451 0.8812
S 0.8103 0.8103 0.3094
S 0.8309 0.8309 0.8481
S 0.8649 0.8649 0.5485
S 0.9132 0.9132 0.2477
S 0.9918 0.9918 0.7606
CELL_PARAMETERS angstrom
19.5449 -1.9794 0.0000
19.5449 1.9794 0.0000
-0.3037 0.0000 11.3402
! Total moment   0.0 μB/f.u.
! V   23.71 A^3/atom
! DFT total energy   -6.480 eV per atom



[20]
! GGA-PBE BeCdPO, relaxed; values from VASP
&SYSTEM
  ibrav = 0, nat = 8, ntyp = 4
/
ATOMIC_SPECIES
Be 9.01 Be.upf
Cd 112.41 Cd.upf
P 30.97 P.upf
O 16.00 O.upf
ATOMIC_POSITIONS crystal
Be 0.0000 0.2168 0.0000
Be 0.0000 0.7832 0.5000
Cd 0.5000 0.3416 0.5796
Cd 0.5000 0.6584 0.0796
P 0.0000 0.0963 0.3345
P 0.0000 0.9037 0.8345
O 0.5000 0.3294 0.9460
O 0.5000 0.6706 0.4460
CELL_PARAMETERS angstrom
2.7862 0.0000 0.0000
0.0000 6.4947 0.0000
0.0000 0.0000 6.2634
! V   14.17 A^3/atom
! DFT total energy   -4.622 eV per atom
! Distance to the lowest polymorph of the same formula   0.000 eV per formula unit